[1]
This record from Alexandria via LeMat-Bulk describes NaPrTiNbO6F after structural relaxation. The functional is PBEsol.

Calculated values
The uncorrected formation energy is -2.9622 eV/atom. For the calculated density, the calculation gives 5.04 g/cm3. For the polymorph energy (0 for the lowest one), the calculation gives 3 meV/atom. The calculation puts the calculated total energy at -8.34 eV/atom.

a = 7.1738 Å, b = 7.5324 Å, c = 10.2432 Å
α = 90.00°, β = 90.00°, γ = 90.00°
With the nearest neighbours (Å) after each atom.
Space group Imma (No. 74)
Asymmetric unit:
Na (0.2500, 0.2500, 0.2500)  2 F 2.17
Pr (0.0000, 0.0000, 0.0000)  2 F 2.31, 6 O 2.50-2.58
Ti (0.2500, 0.2500, 0.7500)  6 O 1.96
Nb (0.0000, 0.0000, 0.5000)  6 O 1.99-2.01
O (0.0000, 0.2500, 0.4326)  2 Nb 2.01
O (0.0000, 0.2500, 0.8282)  2 Ti 1.96
O (0.2053, 0.0605, 0.6231)  1 Ti 1.96, 1 Nb 1.99
F (0.0000, 0.2500, 0.1300)  2 Na 2.17, 2 Pr 2.31

=====

[2]
This record from Alexandria via LeMat-Bulk describes Pb2WBr after structural relaxation. The functional is PBEsol.

Calculated values
The uncorrected formation energy is 0.5649 eV/atom. For the calculated density, the calculation gives 11.25 g/cm3. For the polymorph energy (0 for the lowest one), the calculation gives 0 meV/atom. The calculation puts the calculated total energy at -5.35 eV/atom.

a = 3.0808 Å, b = 5.1142 Å, c = 12.7058 Å
α = 90.00°, β = 90.00°, γ = 90.00°
With the nearest neighbours (Å) after each atom.
Space group Imm2 (No. 44)
Asymmetric unit:
Pb (0.0000, 0.0000, 0.0000)  2 W 2.99, 2 Pb 3.08
Pb (0.0000, 0.5000, 0.1990)  4 W 2.99, 2 Pb 3.08
W (0.0000, 0.5000, 0.7016)  2 Br 2.63
Br (0.0000, 0.0000, 0.3694)  2 W 2.63

=====

[3]
This record from Alexandria via LeMat-Bulk describes Zr2TaCo after structural relaxation. The functional is PBEsol.

Calculated values
The value obtained for the energy of formation is -89 meV per atom. For the calculated density, the calculation gives 9.89 g/cm3. For the polymorph energy (0 for the lowest one), the calculation gives 0 meV/atom. The calculation puts the calculated total energy at -9.71 eV/atom.

a = 3.0749 Å, b = 3.0749 Å, c = 7.5005 Å
α = 90.00°, β = 90.00°, γ = 90.00°
With the nearest neighbours (Å) after each atom.
Space group P4mm (No. 99)
Asymmetric unit:
Zr (0.0000, 0.0000, 0.0000)  4 Ta 3.00, 8 Zr 3.07-3.19
Zr (0.5000, 0.5000, 0.3105)  4 Co 2.81, 4 Zr 3.07, 1 Ta 3.10
Ta (0.5000, 0.5000, 0.7245)  4 Co 2.54
Co (0.0000, 0.0000, 0.5487)  4 Ta 2.54, 4 Zr 2.81

=====

[4]
This record from Alexandria via LeMat-Bulk describes TcAsIN2 after structural relaxation. The functional is PBEsol.

Calculated values
The uncorrected formation energy is 1.7979 eV/atom. For the calculated density, the calculation gives 6.07 g/cm3. The calculation puts the calculated total energy at -5.24 eV/atom.

a = 3.7747 Å, b = 3.7747 Å, c = 6.2957 Å
α = 90.00°, β = 90.00°, γ = 90.00°
With the nearest neighbours (Å) after each atom.
Space group P4/mmm (No. 123)
Asymmetric unit:
Tc (0.0000, 0.0000, 0.0000)  4 I 2.67
As (0.5000, 0.5000, 0.5000)  4 N 1.89
I (0.5000, 0.5000, 0.0000)  4 Tc 2.67
N (0.0000, 0.5000, 0.5000)  2 As 1.89

=====

[5]
This record from Alexandria via LeMat-Bulk describes Lu5Ge10Rh4 after structural relaxation. The functional is PBEsol.

Calculated values
The value obtained for the energy of formation is -821 meV per atom. For the calculated density, the calculation gives 9.81 g/cm3. The calculation puts the calculated total energy at -6.42 eV/atom.

a = 12.7674 Å, b = 12.7674 Å, c = 4.1824 Å
α = 90.00°, β = 90.00°, γ = 90.00°
With the nearest neighbours (Å) after each atom.
Space group P4/mbm (No. 127)
Asymmetric unit:
Lu (0.0000, 0.0000, 0.0000)  8 Ge 2.89, 4 Rh 3.16
Lu (0.1137, 0.3863, 0.5000)  10 Ge 3.17-3.30, 4 Rh 3.24
Lu (0.1736, 0.6736, 0.5000)  8 Ge 2.85-3.07, 4 Rh 3.04
Ge (0.0044, 0.8440, 0.5000)  2 Rh 2.40
Ge (0.0667, 0.5667, 0.0000)  1 Ge 2.41, 2 Rh 2.45
Ge (0.1630, 0.1993, 0.0000)  2 Rh 2.42-2.52, 1 Ge 2.49
Rh (0.0202, 0.7532, 0.0000)  5 Ge 2.40-2.52

=====

[6]
This record from Alexandria via LeMat-Bulk describes SbPb3 after structural relaxation. The functional is PBEsol.

Calculated values
The uncorrected formation energy is 0.0324 eV/atom. For the calculated density, the calculation gives 10.60 g/cm3. The calculation puts the calculated total energy at -4.11 eV/atom.

a = 4.8199 Å, b = 4.8199 Å, c = 20.0597 Å
α = 90.00°, β = 90.00°, γ = 90.00°
With the nearest neighbours (Å) after each atom.
Space group I4/mmm (No. 139)
Asymmetric unit:
Sb (0.0000, 0.0000, 0.1219)  12 Pb 3.41-3.52
Pb (0.0000, 0.0000, 0.3730)  4 Sb 3.41, 8 Pb 3.45-3.51
Pb (0.0000, 0.5000, 0.0000)  8 Pb 3.41-3.51, 4 Sb 3.43
Pb (0.0000, 0.5000, 0.2500)  8 Pb 3.41-3.45, 4 Sb 3.52

=====

[7]
This record from Alexandria via LeMat-Bulk describes NbNi3Ir after structural relaxation. The functional is PBEsol.

Calculated values
The value obtained for the energy of formation is 1393 meV per atom. For the calculated density, the calculation gives 9.14 g/cm3. For the polymorph energy (0 for the lowest one), the calculation gives 0 meV/atom. The calculation puts the calculated total energy at -6.43 eV/atom.

a = 4.3763 Å, b = 4.3763 Å, c = 4.3763 Å
α = 90.00°, β = 90.00°, γ = 90.00°
With the nearest neighbours (Å) after each atom.
Space group Pm-3m (No. 221)
Asymmetric unit:
Nb (0.0000, 0.0000, 0.0000)  12 Ni 3.09
Ni (0.0000, 0.5000, 0.5000)  2 Ir 2.19
Ir (0.5000, 0.5000, 0.5000)  6 Ni 2.19

=====

[8]
This record from Alexandria via LeMat-Bulk describes BaNi2Cl after structural relaxation. The functional is PBEsol.

Calculated values
The uncorrected formation energy is 0.1501 eV/atom. For the calculated density, the calculation gives 5.30 g/cm3. The calculation puts the calculated total energy at -3.97 eV/atom.

a = 4.0119 Å, b = 4.0119 Å, c = 11.3025 Å
α = 90.00°, β = 90.00°, γ = 90.00°
With the nearest neighbours (Å) after each atom.
Space group I4/mmm (No. 139)
Asymmetric unit:
Ba (0.0000, 0.0000, 0.0000)  4 Cl 2.84
Ni (0.0000, 0.5000, 0.2500)  4 Ni 2.84
Cl (0.0000, 0.0000, 0.5000)  4 Ba 2.84

=====

[9]
This record from Alexandria via LeMat-Bulk describes CaTmPt2 after structural relaxation. The functional is PBEsol.

Calculated values
The value obtained for the energy of formation is -1031 meV per atom. For the calculated density, the calculation gives 12.67 g/cm3. The calculation puts the calculated total energy at -6.27 eV/atom.

a = 6.7976 Å, b = 6.7976 Å, c = 6.7976 Å
α = 90.00°, β = 90.00°, γ = 90.00°
With the nearest neighbours (Å) after each atom.
Space group Fm-3m (No. 225)
Asymmetric unit:
Ca (0.0000, 0.0000, 0.0000)  8 Pt 2.94
Tm (0.0000, 0.0000, 0.5000)  8 Pt 2.94
Pt (0.2500, 0.2500, 0.2500)  4 Tm 2.94, 4 Ca 2.94

=====

[10]
This record from Alexandria via LeMat-Bulk describes Y2FePb after structural relaxation. The functional is PBEsol.

Calculated values
The value obtained for the energy of formation is 155 meV per atom. For the calculated density, the calculation gives 7.41 g/cm3. The calculation puts the calculated total energy at -6.50 eV/atom.

a = 3.5746 Å, b = 4.4127 Å, c = 6.2615 Å
α = 90.00°, β = 90.00°, γ = 90.00°
With the nearest neighbours (Å) after each atom.
Space group Pmm2 (No. 25)
Asymmetric unit:
Y (0.0000, 0.0000, 0.0000)  1 Fe 2.95, 4 Pb 3.14
Y (0.5000, 0.5000, 0.3154)  2 Pb 2.95-3.31, 4 Fe 3.00
Fe (0.0000, 0.0000, 0.4714)  5 Y 2.95-3.00
Pb (0.5000, 0.5000, 0.7871)  6 Y 2.95-3.31

=====

[11]
This record from Alexandria via LeMat-Bulk describes ScTcW2Br after structural relaxation. The functional is PBEsol.

Calculated values
The uncorrected formation energy is 1.5721 eV/atom. For the calculated density, the calculation gives 9.02 g/cm3. The calculation puts the calculated total energy at -7.90 eV/atom.

a = 4.6771 Å, b = 4.6771 Å, c = 4.9718 Å
α = 90.00°, β = 90.00°, γ = 90.00°
With the nearest neighbours (Å) after each atom.
Space group P4/mmm (No. 123)
Asymmetric unit:
Sc (0.0000, 0.0000, 0.0000)  4 Br 3.31, 8 W 3.41
Tc (0.5000, 0.5000, 0.5000)  4 W 2.34, 2 Br 2.49
W (0.0000, 0.5000, 0.5000)  2 Tc 2.34
Br (0.5000, 0.5000, 0.0000)  2 Tc 2.49

=====

[12]
This record from Alexandria via LeMat-Bulk describes Al3FeC after structural relaxation. The functional is PBEsol.

Calculated values
The value obtained for the energy of formation is 1314 meV per atom. For the calculated density, the calculation gives 2.92 g/cm3. The calculation puts the calculated total energy at -4.86 eV/atom.

a = 4.3878 Å, b = 4.3878 Å, c = 4.3878 Å
α = 90.00°, β = 90.00°, γ = 90.00°
With the nearest neighbours (Å) after each atom.
Space group Pm-3m (No. 221)
Asymmetric unit:
Al (0.0000, 0.0000, 0.5000)  2 Fe 2.19
Fe (0.0000, 0.0000, 0.0000)  6 Al 2.19
C (0.5000, 0.5000, 0.5000)  12 Al 3.10

=====

Among the records above, which one has the lowest calculated total energy?
Zr2TaCo